Entry 1:
The following is a DFT calculation (PBE-GGA) of a relaxed UMnAl crystal.

Cell: 6.0640 5.4916 8.8165 Å, 90.00 131.92 90.00°
Positions (direct):
U 0.0836 0.1293 0.3859
U 0.0836 0.3707 0.8859
U 0.9164 0.6293 0.1141
U 0.9164 0.8707 0.6141
Mn 0.1115 0.1383 0.1579
Mn 0.1115 0.3617 0.6579
Mn 0.8885 0.6383 0.3421
Mn 0.8885 0.8617 0.8421
Al 0.4354 0.6178 0.6250
Al 0.4354 0.8822 0.1250
Al 0.5646 0.1178 0.8750
Al 0.5646 0.3822 0.3750

**Theoretical density**: 9.73 Mg/m³
**Total DFT energy (no corrections)**: -24.75 eV/f.u.

=====

Entry 2:
The following is a DFT calculation (PBE-GGA) of a relaxed UMnAl crystal.

Cell: 8.7703 5.0912 5.0912 Å, 61.52 90.00 90.00°
Positions (direct):
U 0.1874 0.0000 0.0000
U 0.2780 0.6906 0.6906
U 0.7220 0.6906 0.6906
U 0.8126 0.0000 0.0000
Mn 0.0000 0.0002 0.4918
Mn 0.0000 0.4918 0.0002
Mn 0.2514 0.3449 0.3449
Mn 0.7486 0.3449 0.3449
Al 0.0000 0.4943 0.4943
Al 0.5000 0.1823 0.1823
Al 0.5000 0.1859 0.6800
Al 0.5000 0.6800 0.1859

**Theoretical density**: 10.64 Mg/m³
**Total DFT energy (no corrections)**: -24.54 eV/f.u.

=====

Entry 3:
The following is a DFT calculation (PBE-GGA) of a relaxed UMnAlZn crystal.

Cell: 4.5963 4.5963 4.5963 Å, 60.00 60.00 60.00°
Positions (direct):
U 0.0000 0.0000 0.0000
Mn 0.2500 0.2500 0.2500
Al 0.5000 0.5000 0.5000
Zn 0.7500 0.7500 0.7500

**Theoretical density**: 9.32 Mg/m³
**Total DFT energy (no corrections)**: -24.97 eV/f.u.

=====

Entry 4:
The following is a DFT calculation (PBE-GGA) of a relaxed Mn4AlV2 crystal.

Cell: 6.7856 6.7856 6.7856 Å, 143.32 143.32 52.85°
Positions (direct):
Mn 0.0000 0.5000 0.5000
Mn 0.1976 0.1976 0.0000
Mn 0.5000 0.0000 0.5000
Mn 0.8024 0.8024 0.0000
Al 0.0000 0.0000 0.0000
V 0.3826 0.3826 0.0000
V 0.6174 0.6174 0.0000

**Theoretical density**: 5.22 Mg/m³
**Total DFT energy (no corrections)**: -52.49 eV/f.u.

=====

Entry 5:
The following is a DFT calculation (PBE-GGA) of a relaxed MnAl2V6 crystal.

Cell: 6.1657 6.1657 4.2709 Å, 90.00 90.00 127.14°
Positions (direct):
Mn 0.0000 0.0000 0.0000
Al 0.2472 0.7528 0.5000
Al 0.7528 0.2472 0.5000
V 0.1297 0.4100 0.0000
V 0.2717 0.2717 0.5000
V 0.4100 0.1297 0.0000
V 0.5900 0.8703 0.0000
V 0.7283 0.7283 0.5000
V 0.8703 0.5900 0.0000

**Theoretical density**: 5.32 Mg/m³
**Total DFT energy (no corrections)**: -69.46 eV/f.u.

=====

Entry 6:
The following is a DFT calculation (PBE-GGA) of a relaxed MnAlV3 crystal.

Cell: 4.4786 4.4786 4.4786 Å, 90.00 90.00 90.00°
Positions (direct):
Mn 0.0000 0.0000 0.0000
Al 0.5000 0.5000 0.5000
V 0.0000 0.5000 0.5000
V 0.5000 0.0000 0.5000
V 0.5000 0.5000 0.0000

**E above lowest polymorph**: 1540.1 meV/atom
**Theoretical density**: 4.34 Mg/m³
**Total DFT energy (no corrections)**: -33.55 eV/f.u.

=====

Repeat the fifth record exactly.
The following is a DFT calculation (PBE-GGA) of a relaxed MnAl2V6 crystal.

Cell: 6.1657 6.1657 4.2709 Å, 90.00 90.00 127.14°
Positions (direct):
Mn 0.0000 0.0000 0.0000
Al 0.2472 0.7528 0.5000
Al 0.7528 0.2472 0.5000
V 0.1297 0.4100 0.0000
V 0.2717 0.2717 0.5000
V 0.4100 0.1297 0.0000
V 0.5900 0.8703 0.0000
V 0.7283 0.7283 0.5000
V 0.8703 0.5900 0.0000

**Theoretical density**: 5.32 Mg/m³
**Total DFT energy (no corrections)**: -69.46 eV/f.u.

=====

- total DFT energy (no corrections) of number 1 (UMnAl)?
  -24.75 eV/f.u.